one.
First-principles (SCAN) data for BaYTl at its PBEsol-relaxed geometry, as listed in Alexandria.

Cell: 5.196 5.196 8.069 Å, 90.00 90.00 90.00°
Atoms (fractional coordinates):
1 Y 0.000 0.000 0.500
2 Ba 0.000 0.500 0.864
3 Y 0.500 0.500 0.500
4 Tl 0.000 0.500 0.288
5 Tl 0.500 0.000 0.712
6 Ba 0.500 0.000 0.136

## Properties
DOS(E_F) = 0.29 states/eV per atom
Calculated volume = 36.30 Å³/atom



two.
First-principles (SCAN) data for BaYTl at its PBEsol-relaxed geometry, as listed in Alexandria.

Cell: 5.480 5.480 5.480 Å, 60.00 60.00 60.00°
Atoms (fractional coordinates):
1 Tl 0.250 0.250 0.250
2 Y 0.000 0.000 0.000
3 Ba 0.500 0.500 0.500

## Properties
DOS(E_F) = 0.94 states/eV per atom
Calculated volume = 38.78 Å³/atom



We find one to be the most stable, with the next structure 368 meV per atom higher.